a | # PBE Ga3Au, relaxed
data_Ga3Au
_cell_length_a 4.241
_cell_length_b 4.241
_cell_length_c 8.180
_cell_angle_alpha 90.00
_cell_angle_beta 90.00
_cell_angle_gamma 90.00
_space_group_name_H-M_alt 'I 4/m m m'
_space_group_IT_number 139
_space_group_name_Hall '-I 4 2'
loop_
_atom_site_label
_atom_site_type_symbol
_atom_site_fract_x
_atom_site_fract_y
_atom_site_fract_z
Ga1 Ga 0.000 0.000 0.000
Ga2 Ga 0.000 0.500 0.250
Au1 Au 0.000 0.000 0.500
# Magnetization = 0.000 μB per atom

b | # PBE Ga3Au, relaxed
data_Ga3Au
_cell_length_a 4.198
_cell_length_b 4.198
_cell_length_c 4.198
_cell_angle_alpha 90.00
_cell_angle_beta 90.00
_cell_angle_gamma 90.00
_space_group_name_H-M_alt 'P m -3 m'
_space_group_IT_number 221
_space_group_name_Hall '-P 4 2 3'
loop_
_atom_site_label
_atom_site_type_symbol
_atom_site_fract_x
_atom_site_fract_y
_atom_site_fract_z
Ga1 Ga 0.000 0.000 0.500
Au1 Au 0.500 0.500 0.500
# Magnetization = 0.000 μB per atom

c | # PBE Ga3Au, relaxed
data_Ga3Au
_cell_length_a 3.303
_cell_length_b 5.340
_cell_length_c 4.316
_cell_angle_alpha 90.00
_cell_angle_beta 90.00
_cell_angle_gamma 90.00
_space_group_name_H-M_alt 'P m m 2'
_space_group_IT_number 25
_space_group_name_Hall 'P 2 -2'
loop_
_atom_site_label
_atom_site_type_symbol
_atom_site_fract_x
_atom_site_fract_y
_atom_site_fract_z
Ga1 Ga 0.000 0.000 0.000
Ga2 Ga 0.000 0.500 0.233
Ga3 Ga 0.500 0.000 0.508
Au1 Au 0.500 0.500 0.721
# Magnetization = 0.000 μB per atom

Relative energy table, unit meV/atom: a 21; b 9; c 0

a | # PBE Ga2Au13, relaxed
data_Ga2Au13
_cell_length_a 6.941
_cell_length_b 7.145
_cell_length_c 7.246
_cell_angle_alpha 63.22
_cell_angle_beta 62.14
_cell_angle_gamma 68.40
_space_group_name_H-M_alt 'P -1'
_space_group_IT_number 2
_space_group_name_Hall '-P 1'
loop_
_atom_site_label
_atom_site_type_symbol
_atom_site_fract_x
_atom_site_fract_y
_atom_site_fract_z
Ga1 Ga 0.224 0.205 0.186
Au1 Au 0.000 0.500 0.500
Au2 Au 0.109 0.631 0.015
Au3 Au 0.147 0.069 0.729
Au4 Au 0.180 0.810 0.504
Au5 Au 0.346 0.866 0.047
Au6 Au 0.356 0.369 0.715
Au7 Au 0.461 0.298 0.316
# Magnetization = 0.000 μB per atom

b | # PBE Ga2Au13, relaxed
data_Ga2Au13
_cell_length_a 7.3419
_cell_length_b 7.3419
_cell_length_c 20.4224
_cell_angle_alpha 90.00
_cell_angle_beta 90.00
_cell_angle_gamma 120.00
_space_group_name_H-M_alt 'R -3 m'
_space_group_IT_number 166
_space_group_name_Hall '-R 3 2"'
loop_
_atom_site_label
_atom_site_type_symbol
_atom_site_fract_x
_atom_site_fract_y
_atom_site_fract_z
Ga1 Ga 0.0000 0.0000 0.1320
Au1 Au 0.0000 0.0000 0.0000
Au2 Au 0.0709 0.5355 0.4329
Au3 Au 0.0854 0.5427 0.2920
# Magnetization = 0.000 μB per atom

Relative energy table, unit meV/atom: a 0; b 88